BaMn2 | PBE | relaxed

For the density of states at the Fermi level, the calculation gives 2.4 states/eV/f.u. Its calculated volume is 77 Å³/cell. For the formation energy, the calculation gives 1.03 eV/atom. For the total energy, the calculation gives -5.726 eV/atom. The total moment is 7.77 μB/f.u.

The space group is P-3m1 (No. 164) and the conventional cell measures 3.4285, 3.4285 and 7.5223 Å, with angles of 90.00, 90.00 and 120.00 degrees. Symmetry generates all atoms from Ba at (0.0000, 0.0000, 0.0000) and Mn at (0.3333, 0.6667, 0.3737).



Nd2DyTe2As2 | PBE | relaxed

For the density of states at the Fermi level, the calculation gives 5.6 states/eV/f.u. Its calculated volume is 448 Å³/cell. For the formation energy from raw total energies, the calculation gives -1.0208 eV/atom. For the total energy, the calculation gives -5.267 eV/atom. The total moment is 0.00 μB/f.u.

The space group is I4/mmm (No. 139) and the conventional cell measures 5.3300, 5.3300 and 15.7617 Å, with angles of 90.00, 90.00 and 90.00 degrees. Symmetry generates all atoms from Nd at (0.0000, 0.0000, 0.1129), Dy at (0.0000, 0.0000, 0.5000), Te at (0.0000, 0.0000, 0.3077) and As at (0.0000, 0.5000, 0.0000).



What did the first record say?
BaMn2 | PBE | relaxed

For the density of states at the Fermi level, the calculation gives 2.4 states/eV/f.u. Its calculated volume is 77 Å³/cell. For the formation energy, the calculation gives 1.03 eV/atom. For the total energy, the calculation gives -5.726 eV/atom. The total moment is 7.77 μB/f.u.

The space group is P-3m1 (No. 164) and the conventional cell measures 3.4285, 3.4285 and 7.5223 Å, with angles of 90.00, 90.00 and 120.00 degrees. Symmetry generates all atoms from Ba at (0.0000, 0.0000, 0.0000) and Mn at (0.3333, 0.6667, 0.3737).



> Which of these has the highest total moment?

BaMn2